## HfHgBr2 (PBE)

Data for a relaxed structure of HfHgBr2.

Cell lengths 7.3154, 7.3154, 7.3154 Å; angles 99.53, 99.53, 131.98 degrees
Closest atoms and distances in Å follow each position.
Fractional positions:
Hf 0.0000 0.0000 0.0000  4 Br 2.68, 2 Hg 2.98
Hf 0.7500 0.2500 0.5000  4 Br 2.68, 2 Hg 2.98
Hg 0.2500 0.7500 0.5000  2 Hf 2.98
Hg 0.5000 0.5000 0.0000  2 Hf 2.98
Br 0.3750 0.2330 0.3580  2 Hf 2.68
Br 0.7670 0.1250 0.1420  2 Hf 2.68
Br 0.8750 0.0170 0.6420  2 Hf 2.68
Br 0.9830 0.6250 0.8580  2 Hf 2.68

Properties
The uncorrected formation energy is -0.406 eV/atom. The calculation puts the total energy at -30.451 eV per cell. The symmetry is I-42d. The calculation puts the relative energy among the computed polymorphs at 327 meV per atom.